[1]
The following is a PBE calculation of a relaxed structure of Tl2CdAs, from the Alexandria database.

Output
The symmetry is No. 65. The total magnetic moment comes out at 0.000 μB per formula unit. The formation energy from the elements comes out at 157.1 meV per atom.

Unit cell a=6.1501 b=6.1501 c=3.1352 alpha=90.00 beta=90.00 gamma=116.76
Last column: nearest neighbours and their distance in Å.
Positions (direct):
Tl  0.0000  0.5000  0.0000  4 Tl 3.14-3.22, 4 Cd 3.45, 4 As 3.45
Tl  0.5000  0.0000  0.0000  4 Tl 3.14-3.22, 4 Cd 3.45, 4 As 3.45
Cd  0.0000  0.0000  0.5000  2 Cd 3.14, 2 As 3.22, 8 Tl 3.45
As  0.5000  0.5000  0.5000  2 As 3.14, 2 Cd 3.22, 8 Tl 3.45

=====

[2]
The following is a PBE calculation of a relaxed structure of TlCdAs2, from the Alexandria database.

Output
The symmetry is No. 123. The total magnetic moment comes out at 0.000 μB per formula unit. The formation energy from the elements comes out at 293.1 meV per atom.

Unit cell a=5.3317 b=5.3317 c=3.2607 alpha=90.00 beta=90.00 gamma=90.00
Last column: nearest neighbours and their distance in Å.
Positions (direct):
Tl  0.0000  0.0000  0.0000  8 As 3.12, 2 Tl 3.26
Cd  0.5000  0.5000  0.0000  8 As 3.12, 2 Cd 3.26
As  0.0000  0.5000  0.5000  4 Cd 3.12, 4 Tl 3.12, 2 As 3.26
As  0.5000  0.0000  0.5000  4 Cd 3.12, 4 Tl 3.12, 2 As 3.26

=====

[3]
The following is a PBE calculation of a relaxed structure of Tl2CdAs, from the Alexandria database.

Output
The symmetry is No. 119. The total magnetic moment comes out at 0.000 μB per formula unit. The formation energy from the elements comes out at 127.5 meV per atom.

Unit cell a=5.5863 b=5.5863 c=5.5863 alpha=127.79 beta=127.79 gamma=76.97
Last column: nearest neighbours and their distance in Å.
Positions (direct):
Tl  0.0000  0.0000  0.0000  4 Tl 3.29, 4 As 3.29, 4 Cd 3.48
Tl  0.7500  0.2500  0.5000  4 Cd 3.29, 4 Tl 3.29, 4 As 3.48
Cd  0.5000  0.5000  0.0000  8 Tl 3.29-3.48, 4 As 3.29
As  0.2500  0.7500  0.5000  4 Cd 3.29, 8 Tl 3.29-3.48

=====

[4]
The following is a PBE calculation of a relaxed structure of TlCdAs, from the Alexandria database.

Output
The symmetry is No. 216. The total magnetic moment comes out at 0.000 μB per formula unit. The formation energy from the elements comes out at 59.0 meV per atom.

Unit cell a=4.9383 b=4.9383 c=4.9383 alpha=60.00 beta=60.00 gamma=60.00
Last column: nearest neighbours and their distance in Å.
Positions (direct):
Tl  0.0000  0.0000  0.0000  4 As 3.02
Cd  0.5000  0.5000  0.5000  4 As 3.02
As  0.7500  0.7500  0.7500  4 Cd 3.02, 4 Tl 3.02